A plane-wave DFT calculation with GGA-PBEsol was carried out for an optimized crystal structure of Zr4Co.

Cell: 5.683 5.683 5.683 Å, 94.67 94.67 146.84°
Fractional positions:
Zr 0.082 0.726 0.808
Zr 0.274 0.082 0.356
Zr 0.726 0.918 0.644
Zr 0.918 0.274 0.192
Co 0.500 0.500 0.000

raw total energy	-8.914	eV/atom
crystal system	tetragonal
magnetization	0.0	μB per cell
ΔE_f	-0.095	eV per atom
DOS at the Fermi energy	6.22	states/eV per cell
symmetry	No. 87


A plane-wave DFT calculation with GGA-PBEsol was carried out for an optimized crystal structure of Tl2HgRh.

Cell: 7.196 7.196 7.196 Å, 155.39 143.02 44.93°
Fractional positions:
Tl 0.177 0.177 0.000
Tl 0.823 0.823 0.000
Hg 0.500 0.000 0.500
Rh 0.000 0.500 0.500

raw total energy	-3.429	eV/atom
crystal system	orthorhombic
magnetization	0.0	μB per cell
ΔE_f	0.063	eV per atom
DOS at the Fermi energy	1.68	states/eV per cell
symmetry	No. 71


A plane-wave DFT calculation with GGA-PBEsol was carried out for an optimized crystal structure of AlIr2Se.

Cell: 3.682 7.134 7.134 Å, 21.91 90.00 90.00°
Fractional positions:
Al 0.000 0.000 0.000
Ir 0.000 0.813 0.813
Ir 0.500 0.423 0.423
Se 0.500 0.699 0.699

ΔE_f (raw)	-0.35	eV per formula unit
raw total energy	-6.985	eV/atom
crystal system	orthorhombic
magnetization	0.0	μB per cell
DOS at the Fermi energy	2.16	states/eV per cell
symmetry	No. 38


no.,relative energy among the computed polymorphs (eV/f.u.)
1,0.00
2,0.02
3,0.23